1.
A relaxed structure of KHfS3, computed with PBE.

Structure (extended XYZ):
```
20
Lattice="14.1795 0.0000 0.6424 5.6942 6.8468 -2.5840 -5.6942 6.8468 2.5840" Properties=species:S:1:pos:R:3 pbc="T T T"
K 2.3148 5.5414 -0.1193
K 4.7749 12.3883 0.4405
K 11.8647 8.1522 0.7617
K 9.4045 1.3054 0.2019
Hf 7.7875 5.8072 1.7738
Hf 6.3920 7.8865 -1.1314
Hf 7.7875 9.5354 1.7738
Hf 6.3920 4.1582 -1.1314
S 5.5527 5.8826 0.5107
S 1.5370 12.7294 -0.1894
S 8.6267 7.8111 0.1318
S 12.6425 0.9642 0.8319
S 1.5103 2.5703 -0.2402
S 5.5794 9.4172 0.5614
S 12.6691 11.1233 0.8826
S 8.6001 4.2765 0.0810
S 8.3944 11.8877 0.9042
S 12.8748 5.0408 0.0595
S 5.7851 1.8060 -0.2617
S 1.3047 8.6528 0.5829
```

Raw total energy   -121.27 eV/cell
Magnetic moment   0.0 Bohr magnetons per cell
Formation energy from raw total energies   -1377 meV per atom

2.
A relaxed structure of KHfS3, computed with PBE.

Structure (extended XYZ):
```
10
Lattice="-0.3044 2.4332 4.9267 -6.4437 -3.3799 1.2712 3.6406 -5.7822 3.0804" Properties=species:S:1:pos:R:3 pbc="T T T"
K 0.6302 -3.4268 4.8138
K -3.7378 -3.3021 4.4644
Hf -1.1893 -1.5139 0.6764
Hf -1.9182 -5.2150 8.6019
S -3.4432 0.0860 4.2346
S 0.3356 -6.8149 5.0437
S -0.2217 1.7757 3.5991
S -2.8859 -8.5046 5.6792
S -0.0811 -3.2717 1.6202
S -3.0264 -3.4572 7.6581
```

Raw total energy   -58.36 eV/cell
Magnetic moment   0.0 Bohr magnetons per cell
Formation energy from raw total energies   -1149 meV per atom

3.
A relaxed structure of KHfS3, computed with PBE.

Structure (extended XYZ):
```
10
Lattice="-7.3107 5.9415 -16.7943 0.9387 4.1616 -6.9844 1.7515 -6.1478 5.1107" Properties=species:S:1:pos:R:3 pbc="T T T"
K -5.5991 9.4591 -21.9863
K 0.9785 -5.5038 3.3183
Hf -2.5714 -2.0665 -5.4221
Hf -2.0491 6.0219 -13.2460
S -3.0152 1.7524 -10.1073
S -1.6054 2.2029 -8.5607
S 0.4155 -2.9052 -0.2447
S -5.0360 6.8605 -18.4233
S -1.8490 4.4072 -11.2472
S -2.7715 -0.4519 -7.4209
```

Raw total energy   -58.87 eV/cell
Magnetic moment   0.0 Bohr magnetons per cell
Formation energy from raw total energies   -1200 meV per atom